# Si5Ni3

An optimized crystal structure of Si5Ni3 (PBE, the Alexandria database).

Unit cell a=6.322 b=7.042 c=6.600 alpha=105.40 beta=100.40 gamma=124.02
Fractional coordinates of all 16 atoms:
Ni: 0.796 0.741 0.997
Ni: 0.299 0.244 0.003
Ni: 0.229 0.060 0.500
Ni: 0.567 0.777 0.500
Ni: 0.057 0.573 0.817
Ni: 0.740 0.256 0.183
Si: 0.143 0.659 0.500
Si: 0.663 0.159 0.500
Si: 0.889 0.180 0.870
Si: 0.269 0.974 0.145
Si: 0.747 0.624 0.289
Si: 0.352 0.494 0.710
Si: 0.623 0.329 0.855
Si: 0.519 0.810 0.130
Si: 0.142 0.284 0.290
Si: 0.958 0.835 0.711

Total moment = 0.00 Bohr magnetons per cell
Theoretical density = 4.91 g cm⁻³
Formation energy without anion corrections = -0.1570 eV per atom